1.
Crystalline YAgCl2 at its relaxed geometry. Source: the Alexandria database, functional PBE.

extended XYZ file:
```
8
Lattice="3.666 0.000 0.000 0.000 6.030 0.000 0.000 0.000 11.258" Properties=species:S:1:pos:R:3 pbc="T T T"
Y 0.000 0.000 0.000
Y 1.833 3.015 0.000
Ag 0.000 0.000 5.629
Ag 1.833 3.015 5.629
Cl 0.000 3.015 1.934
Cl 0.000 3.015 9.323
Cl 1.833 0.000 1.934
Cl 1.833 0.000 9.323
```

Computed properties:
Raw total energy (eV for the cell shown): -33.6
Energy relative to the lowest polymorph listed for this composition (meV per atom): 298

---

2.
Crystalline YAgCl2 at its relaxed geometry. Source: the Alexandria database, functional PBE.

extended XYZ file:
```
4
Lattice="4.078 0.000 0.000 0.000 3.717 0.000 -2.014 0.000 7.589" Properties=species:S:1:pos:R:3 pbc="T T T"
Y 0.000 0.000 0.000
Ag 0.025 1.859 6.176
Cl 0.000 1.859 1.895
Cl 2.064 0.000 4.975
```

Computed properties:
Raw total energy (eV for the cell shown): -17.8
Energy relative to the lowest polymorph listed for this composition (meV per atom): 43

---

3.
Crystalline YAg2Cl at its relaxed geometry. Source: the Alexandria database, functional PBE.

extended XYZ file:
```
4
Lattice="4.052 0.000 0.000 0.000 4.067 0.000 0.000 0.000 5.614" Properties=species:S:1:pos:R:3 pbc="T T T"
Y 0.000 0.000 0.000
Ag 2.026 2.034 1.386
Ag 2.026 2.034 4.228
Cl 0.000 0.000 2.807
```

Computed properties:
Raw total energy (eV for the cell shown): -15.4
Energy relative to the lowest polymorph listed for this composition (meV per atom): 237

---

4.
Crystalline YAgCl2 at its relaxed geometry. Source: the Alexandria database, functional PBE.

extended XYZ file:
```
12
Lattice="3.532 0.000 0.000 -1.766 3.059 0.000 0.000 0.000 29.884" Properties=species:S:1:pos:R:3 pbc="T T T"
Y 0.000 0.000 0.000
Y 0.000 2.039 19.923
Y 1.766 1.020 9.961
Ag 0.000 0.000 14.942
Ag 0.000 2.039 4.981
Ag 1.766 1.020 24.904
Cl 0.000 0.000 11.750
Cl 0.000 0.000 18.134
Cl 0.000 2.039 1.789
Cl 0.000 2.039 8.173
Cl 1.766 1.020 21.712
Cl 1.766 1.020 28.096
```

Computed properties:
Raw total energy (eV for the cell shown): -52.2
Energy relative to the lowest polymorph listed for this composition (meV per atom): 150

---

5.
Crystalline YAg3Cl at its relaxed geometry. Source: the Alexandria database, functional PBE.

extended XYZ file:
```
5
Lattice="5.045 0.000 0.000 0.000 5.045 0.000 0.000 0.000 5.045" Properties=species:S:1:pos:R:3 pbc="T T T"
Y 0.000 0.000 0.000
Ag 0.000 2.523 2.523
Ag 2.523 0.000 2.523
Ag 2.523 2.523 0.000
Cl 2.523 2.523 2.523
```

Computed properties:
Raw total energy (eV for the cell shown): -14.5
Energy relative to the lowest polymorph listed for this composition (meV per atom): 0

---

6.
Crystalline YAgCl2 at its relaxed geometry. Source: the Alexandria database, functional PBE.

extended XYZ file:
```
16
Lattice="4.752 0.000 0.000 0.000 4.752 0.000 0.000 0.000 17.862" Properties=species:S:1:pos:R:3 pbc="T T T"
Y 0.000 0.000 0.000
Y 0.000 2.376 4.466
Y 2.376 0.000 13.397
Y 2.376 2.376 8.931
Ag 0.000 0.000 8.931
Ag 0.000 2.376 13.397
Ag 2.376 0.000 4.466
Ag 2.376 2.376 0.000
Cl 1.032 1.188 2.233
Cl 1.188 3.408 6.698
Cl 1.188 3.719 15.630
Cl 1.343 1.188 11.164
Cl 3.408 3.564 11.164
Cl 3.564 1.032 15.630
Cl 3.564 1.343 6.698
Cl 3.719 3.564 2.233
```

Computed properties:
Raw total energy (eV for the cell shown): -66.3
Energy relative to the lowest polymorph listed for this composition (meV per atom): 351

---

7.
Crystalline YAg2Cl at its relaxed geometry. Source: the Alexandria database, functional PBE.

extended XYZ file:
```
12
Lattice="3.768 0.000 0.000 -1.884 3.264 0.000 0.000 0.000 24.087" Properties=species:S:1:pos:R:3 pbc="T T T"
Y 0.000 0.000 0.000
Y 0.000 2.176 16.058
Y 1.884 1.088 8.029
Ag 0.000 0.000 5.922
Ag 0.000 0.000 18.165
Ag 0.000 2.176 10.136
Ag 0.000 2.176 21.980
Ag 1.884 1.088 2.107
Ag 1.884 1.088 13.951
Cl 0.000 0.000 12.044
Cl 0.000 2.176 4.015
Cl 1.884 1.088 20.073
```

Computed properties:
Raw total energy (eV for the cell shown): -45.3
Energy relative to the lowest polymorph listed for this composition (meV per atom): 304

---

8.
Crystalline YAgCl2 at its relaxed geometry. Source: the Alexandria database, functional PBE.

extended XYZ file:
```
8
Lattice="6.652 0.000 0.000 0.000 8.963 0.000 -1.826 0.000 3.150" Properties=species:S:1:pos:R:3 pbc="T T T"
Y 0.000 0.000 0.000
Y 3.326 4.482 0.000
Ag 0.000 4.482 0.000
Ag 3.326 0.000 0.000
Cl 1.663 2.241 0.000
Cl 1.663 6.722 0.000
Cl 4.989 2.241 0.000
Cl 4.989 6.722 0.000
```

Computed properties:
Raw total energy (eV for the cell shown): -33.0
Energy relative to the lowest polymorph listed for this composition (meV per atom): 377

---

Listing raw formation energy for the structures above in their given order: -0.947; -1.202; -0.339; -1.095; 0.481; -0.894; -0.272; -0.869 eV/atom.